{
  "formula": "BaZnPPb2",
  "functional": "GGA-PBE",
  "state": "optimized geometry",
  "lattice_angstrom": [[6.532, 0.000, 0.000], [0.000, 6.532, 0.000], [0.000, 0.000, 5.601]],
  "species": ["Ba", "Zn", "P", "Pb", "Pb"],
  "fractional_positions": [[0.000, 0.000, 0.000], [0.500, 0.500, 0.500], [0.000, 0.000, 0.500], [0.000, 0.500, 0.000], [0.500, 0.000, 0.000]],
  "dos_at_fermi_per_ev_cell": 7.90,
  "magnetic_moment_mub_per_fu": 0.07,
  "energy_ev_per_atom": -2.18,
  "formation_energy_mev_per_atom": 1025.0
}